## NiMoPd2 (GGA-PBE)

Data for an optimized crystal structure of NiMoPd2.

Cell: 2.724 2.724 7.718 Å, 90.00 90.00 90.00°
Space group P4/mmm (No. 123)
Symmetry-distinct sites (fractional):
Ni 0.000 0.000 0.000 x1
Mo 0.000 0.000 0.500 x1
Pd 0.500 0.500 0.239 x2

Output
For the density of states at the Fermi level, the calculation gives 1.65 states/eV/atom. The energy of formation is 0.0041 eV/atom. The total energy is -27.0 eV per formula unit. As for the offset from the most stable computed form: 0.000 eV per atom.

***

## LaNpPb2O8 (GGA-PBE)

Data for an optimized crystal structure of LaNpPb2O8.

Cell: 7.387 7.426 7.211 Å, 90.00 90.00 90.00°
Space group Cmmm (No. 65)
Symmetry-distinct sites (fractional):
La 0.000 0.000 0.000 x2
Np 0.000 0.000 0.500 x2
Pb 0.000 0.500 0.252 x4
O 0.000 0.178 0.288 x8
O 0.183 0.500 0.000 x4
O 0.213 0.500 0.500 x4

Output
For the density of states at the Fermi level, the calculation gives 0.34 states/eV/atom. The total energy is -89.6 eV per formula unit. The raw formation energy comes out at -2.058 eV/atom.

***

## SrPb (GGA-PBE)

Data for an optimized crystal structure of SrPb.

Cell: 6.548 9.390 9.703 Å, 90.00 90.00 90.00°
Space group P2_12_12_1 (No. 19)
Symmetry-distinct sites (fractional):
Sr 0.095 0.041 0.435 x4
Sr 0.115 0.285 0.754 x4
Pb 0.127 0.404 0.386 x4
Pb 0.129 0.199 0.113 x4

Output
For the density of states at the Fermi level, the calculation gives 0.37 states/eV/atom. The energy of formation is -0.4157 eV/atom. The total energy is -6.2 eV per formula unit.

***

## TcRu (GGA-PBE)

Data for an optimized crystal structure of TcRu.

Cell: 6.155 6.155 6.155 Å, 90.00 90.00 90.00°
Space group Fd-3m (No. 227, origin choice 2)
Symmetry-distinct sites (fractional):
Tc 0.125 0.125 0.125 x8
Ru 0.125 0.125 0.625 x8

Output
For the density of states at the Fermi level, the calculation gives 1.55 states/eV/atom. The energy of formation is 0.4252 eV/atom. The total energy is -18.8 eV per formula unit. As for the offset from the most stable computed form: 0.492 eV per atom.

***

## LuHfAl (GGA-PBE)

Data for an optimized crystal structure of LuHfAl.

Cell: 3.242 3.242 12.640 Å, 90.00 90.00 90.00°
Space group I4mm (No. 107)
Symmetry-distinct sites (fractional):
Lu 0.000 0.000 0.000 x2
Hf 0.000 0.000 0.317 x2
Al 0.000 0.000 0.668 x2

Output
For the density of states at the Fermi level, the calculation gives 0.73 states/eV/atom. The energy of formation is -0.2182 eV/atom. The total energy is -18.9 eV per formula unit. As for the offset from the most stable computed form: 0.000 eV per atom.

***

## Dy3Ga4Ir2 (GGA-PBE)

Data for an optimized crystal structure of Dy3Ga4Ir2.

Cell: 10.565 4.445 8.389 Å, 90.00 114.72 90.00°
Space group C2/m (No. 12)
Symmetry-distinct sites (fractional):
Dy 0.000 0.000 0.000 x2
Dy 0.182 0.500 0.643 x4
Ga 0.035 0.000 0.370 x4
Ga 0.202 0.500 0.040 x4
Ir 0.090 0.500 0.260 x4

Output
For the density of states at the Fermi level, the calculation gives 0.48 states/eV/atom. The energy of formation is -0.7683 eV/atom. The total energy is -50.6 eV per formula unit.

***

## CsLiZnCd2 (GGA-PBE)

Data for an optimized crystal structure of CsLiZnCd2.

Cell: 5.291 5.291 5.580 Å, 90.00 90.00 90.00°
Space group P4/mmm (No. 123)
Symmetry-distinct sites (fractional):
Cs 0.000 0.000 0.000 x1
Li 0.500 0.500 0.000 x1
Zn 0.500 0.500 0.500 x1
Cd 0.000 0.500 0.500 x2

Output
For the density of states at the Fermi level, the calculation gives 0.46 states/eV/atom. The energy of formation is 0.0602 eV/atom. The total energy is -5.6 eV per formula unit.

***

## Tb2Pr4Er (GGA-PBE)

Data for an optimized crystal structure of Tb2Pr4Er.

Cell: 12.106 24.474 6.513 Å, 90.00 90.00 90.00°
Space group Fdd2 (No. 43)
Symmetry-distinct sites (fractional):
Tb 0.024 0.216 0.000 x16
Pr 0.052 0.070 0.947 x16
Pr 0.068 0.144 0.477 x16
Er 0.000 0.000 0.444 x8

Output
For the density of states at the Fermi level, the calculation gives 1.55 states/eV/atom. The energy of formation is 0.0618 eV/atom. The total energy is -32.5 eV per formula unit. As for the offset from the most stable computed form: 0.000 eV per atom.

***

## NaSrCu10 (GGA-PBE)

Data for an optimized crystal structure of NaSrCu10.

Cell: 4.056 5.106 8.957 Å, 90.00 90.00 90.00°
Space group Pmmm (No. 47)
Symmetry-distinct sites (fractional):
Na 0.000 0.000 0.000 x1
Sr 0.000 0.500 0.500 x1
Cu 0.000 0.000 0.320 x2
Cu 0.000 0.500 0.158 x2
Cu 0.500 0.000 0.500 x1
Cu 0.500 0.250 0.245 x4
Cu 0.500 0.500 0.000 x1

Output
For the density of states at the Fermi level, the calculation gives 0.26 states/eV/atom. The energy of formation is -0.0012 eV/atom. The total energy is -44.0 eV per formula unit.

***

## Pr4Mg3Tl (GGA-PBE)

Data for an optimized crystal structure of Pr4Mg3Tl.

Cell: 5.5289 5.5289 27.1553 Å, 90.00 90.00 120.00°
Space group R-3m (No. 166, hexagonal axes)
Symmetry-distinct sites (fractional):
Pr 0.0000 0.0000 0.1245 x6
Pr 0.0000 0.0000 0.3747 x6
Mg 0.0000 0.0000 0.0000 x3
Mg 0.0000 0.0000 0.2522 x6
Tl 0.0000 0.0000 0.5000 x3

Output
For the density of states at the Fermi level, the calculation gives 1.13 states/eV/atom. The energy of formation is -0.1903 eV/atom. The total energy is -27.8 eV per formula unit.

***

## Ho5ZrHg4 (GGA-PBE)

Data for an optimized crystal structure of Ho5ZrHg4.

Cell: 3.597 3.597 19.944 Å, 90.00 90.00 90.00°
Space group P4/mmm (No. 123)
Symmetry-distinct sites (fractional):
Ho 0.000 0.000 0.000 x1
Ho 0.000 0.000 0.193 x2
Ho 0.000 0.000 0.391 x2
Zr 0.500 0.500 0.500 x1
Hg 0.500 0.500 0.096 x2
Hg 0.500 0.500 0.292 x2

Output
For the density of states at the Fermi level, the calculation gives 0.74 states/eV/atom. The energy of formation is -0.3589 eV/atom. The total energy is -36.2 eV per formula unit.

***

## GaCuBi2 (GGA-PBE)

Data for an optimized crystal structure of GaCuBi2.

Cell: 3.8905 3.8905 26.5227 Å, 90.00 90.00 120.00°
Space group R-3m (No. 166, hexagonal axes)
Symmetry-distinct sites (fractional):
Ga 0.0000 0.0000 0.0000 x3
Cu 0.0000 0.0000 0.5000 x3
Bi 0.0000 0.0000 0.4029 x6

Output
For the density of states at the Fermi level, the calculation gives 0.26 states/eV/atom. The energy of formation is 0.4174 eV/atom. The total energy is -13.2 eV per formula unit.

***

## Er2Si3IrPt4 (GGA-PBE)

Data for an optimized crystal structure of Er2Si3IrPt4.

Cell: 3.941 3.941 11.218 Å, 90.00 90.00 90.00°
Space group P-4m2 (No. 115)
Symmetry-distinct sites (fractional):
Er 0.000 0.500 0.246 x2
Si 0.000 0.000 0.000 x1
Si 0.000 0.500 0.632 x2
Ir 0.500 0.500 0.000 x1
Pt 0.000 0.000 0.500 x1
Pt 0.000 0.500 0.837 x2
Pt 0.500 0.500 0.500 x1

Output
For the density of states at the Fermi level, the calculation gives 0.63 states/eV/atom. The total energy is -67.5 eV per formula unit. The raw formation energy comes out at -0.903 eV/atom.

***

## SiAs2Cl (GGA-PBE)

Data for an optimized crystal structure of SiAs2Cl.

Cell: 3.6930 3.6930 24.5040 Å, 90.00 90.00 120.00°
Space group R3m (No. 160, hexagonal axes)
Symmetry-distinct sites (fractional):
Si 0.0000 0.0000 0.0000 x3
As 0.0000 0.0000 0.2774 x3
As 0.0000 0.0000 0.5464 x3
Cl 0.0000 0.0000 0.7311 x3

Output
For the density of states at the Fermi level, the calculation gives 0.57 states/eV/atom. The total energy is -16.0 eV per formula unit. As for the offset from the most stable computed form: 0.197 eV per atom. The raw formation energy comes out at 0.144 eV/atom.

***

## BaHfN2O (GGA-PBE)

Data for an optimized crystal structure of BaHfN2O.

Cell: 4.471 4.471 4.516 Å, 90.00 90.00 90.00°
Space group P4/mmm (No. 123)
Symmetry-distinct sites (fractional):
Ba 0.000 0.000 0.000 x1
Hf 0.500 0.500 0.500 x1
N 0.000 0.500 0.000 x2
O 0.000 0.000 0.500 x1

Output
For the density of states at the Fermi level, the calculation gives 0.23 states/eV/atom. The total energy is -26.9 eV per formula unit. The raw formation energy comes out at 1.307 eV/atom.

***

## SnBiN2O (GGA-PBE)

Data for an optimized crystal structure of SnBiN2O.

Cell: 4.169 4.169 4.091 Å, 90.00 90.00 90.00°
Space group P4/mmm (No. 123)
Symmetry-distinct sites (fractional):
Sn 0.000 0.000 0.000 x1
Bi 0.500 0.500 0.500 x1
N 0.000 0.500 0.000 x2
O 0.000 0.000 0.500 x1

Output
For the density of states at the Fermi level, the calculation gives 0.76 states/eV/atom. The total energy is -27.2 eV per formula unit. The raw formation energy comes out at 0.454 eV/atom.

***

## Tb2ScZn2 (GGA-PBE)

Data for an optimized crystal structure of Tb2ScZn2.

Cell: 3.486 19.913 3.404 Å, 90.00 90.00 90.00°
Space group Cmmm (No. 65)
Symmetry-distinct sites (fractional):
Tb 0.000 0.173 0.000 x4
Sc 0.000 0.000 0.000 x2
Zn 0.000 0.423 0.500 x4

Output
For the density of states at the Fermi level, the calculation gives 1.10 states/eV/atom. The energy of formation is -0.1939 eV/atom. The total energy is -19.1 eV per formula unit. As for the offset from the most stable computed form: 0.021 eV per atom.

***

## CsSmF4 (GGA-PBE)

Data for an optimized crystal structure of CsSmF4.

Cell: 4.004 4.004 7.051 Å, 90.00 90.00 90.00°
Space group P4/mmm (No. 123)
Symmetry-distinct sites (fractional):
Cs 0.000 0.000 0.000 x1
Sm 0.500 0.500 0.500 x1
F 0.000 0.500 0.316 x4

Output
For the density of states at the Fermi level, the calculation gives 0.00 states/eV/atom. The total energy is -35.0 eV per formula unit. As for the offset from the most stable computed form: 0.005 eV per atom. The raw formation energy comes out at -3.649 eV/atom.

***

## LiCa2In2 (GGA-PBE)

Data for an optimized crystal structure of LiCa2In2.

Cell: 8.549 8.549 4.071 Å, 90.00 90.00 90.00°
Space group P4/mbm (No. 127)
Symmetry-distinct sites (fractional):
Li 0.000 0.000 0.000 x2
Ca 0.169 0.331 0.500 x4
In 0.129 0.629 0.000 x4

Output
For the density of states at the Fermi level, the calculation gives 0.43 states/eV/atom. The energy of formation is -0.3127 eV/atom. The total energy is -13.0 eV per formula unit. As for the offset from the most stable computed form: 0.036 eV per atom.

***

## BaScFe2 (GGA-PBE)

Data for an optimized crystal structure of BaScFe2.

Cell: 3.590 3.590 7.043 Å, 90.00 90.00 90.00°
Space group P4/mmm (No. 123)
Symmetry-distinct sites (fractional):
Ba 0.000 0.000 0.000 x1
Sc 0.000 0.000 0.500 x1
Fe 0.500 0.500 0.339 x2

Output
For the density of states at the Fermi level, the calculation gives 1.51 states/eV/atom. The energy of formation is 0.3605 eV/atom. The total energy is -23.7 eV per formula unit. As for the offset from the most stable computed form: 0.124 eV per atom.